# 1
VASP calculation (SCAN) on a PBEsol-optimized structure of Ba2AlMo.

Cell lengths 7.9799, 7.9991, 3.9022 Å; angles 90.00, 90.00, 90.00 degrees
With the nearest neighbours (Å) after each atom.
Space group Cmmm (No. 65)
Asymmetric unit:
1 Ba 0.2500 0.2500 0.0000 x4  4 Mo 3.43, 4 Al 3.43
2 Al 0.0000 0.0000 0.5000 x2  8 Ba 3.43
3 Mo 0.0000 0.5000 0.5000 x2  8 Ba 3.43

Fermi-level density of states, states/eV per atom: 0.786
Electronic total energy, eV/atom: -29.649
Formation enthalpy at 0 K, eV/atom: 0.78


# 2
VASP calculation (SCAN) on a PBEsol-optimized structure of BaAl2Mo.

Cell lengths 5.1737, 5.1737, 17.6144 Å; angles 90.00, 90.00, 90.00 degrees
With the nearest neighbours (Å) after each atom.
Space group I4_1/amd (No. 141, origin choice 2)
Asymmetric unit:
1 Ba 0.0000 0.2500 0.3750 x4  8 Al 3.63, 4 Mo 3.66
2 Al 0.0000 0.0000 0.0000 x8  2 Mo 2.55, 2 Al 2.59
3 Mo 0.0000 0.2500 0.8750 x4  4 Al 2.55

Fermi-level density of states, states/eV per atom: 0.931
ΔE to the lowest computed polymorph, meV/atom: 0
Electronic total energy, eV/atom: -21.934
Formation enthalpy at 0 K, eV/atom: 0.55


# 3
VASP calculation (SCAN) on a PBEsol-optimized structure of Ba2AlN.

Cell lengths 7.5597, 7.5597, 7.5597 Å; angles 90.00, 90.00, 90.00 degrees
With the nearest neighbours (Å) after each atom.
Space group Fm-3m (No. 225)
Asymmetric unit:
1 Ba 0.2500 0.2500 0.2500 x8  4 Al 3.27, 4 N 3.27
2 Al 0.0000 0.0000 0.0000 x4  8 Ba 3.27
3 N 0.0000 0.0000 0.5000 x4  8 Ba 3.27

Fermi-level density of states, states/eV per atom: 1.016
Electronic total energy, eV/atom: -23.477
Energy relative to the elements, uncorrected, eV per atom: 0.558


# 4
VASP calculation (SCAN) on a PBEsol-optimized structure of Ba3Al3N5.

Cell lengths 5.8796, 7.5530, 8.7887 Å; angles 108.92, 100.85, 96.50 degrees
With the nearest neighbours (Å) after each atom.
Space group P-1 (No. 2)
Asymmetric unit:
1 Ba 0.1623 0.1577 0.2161 x2  5 N 2.64-2.89
2 Ba 0.1673 0.3567 0.8812 x2  5 N 2.78-3.01, 1 Al 3.06
3 Ba 0.3103 0.9268 0.6098 x2  3 N 2.63-2.84
4 Al 0.1982 0.4700 0.5800 x2  4 N 1.90-1.99
5 Al 0.3984 0.6077 0.2925 x2  4 N 1.90-2.01
6 Al 0.4150 0.8196 0.9767 x2  4 N 1.91-1.96
7 N 0.1292 0.5471 0.3887 x2  3 Al 1.94-2.01
8 N 0.2803 0.0167 0.9212 x2  2 Al 1.92-1.93
9 N 0.3113 0.7194 0.1307 x2  2 Al 1.90-1.91
10 N 0.3226 0.2427 0.5434 x2  2 Al 1.90-1.92
11 N 0.4376 0.6112 0.7813 x2  3 Al 1.94-2.00

Fermi-level density of states, states/eV per atom: 0.000
Electronic total energy, eV/atom: -18.296
Energy relative to the elements, uncorrected, eV per atom: -1.173


# 5
VASP calculation (SCAN) on a PBEsol-optimized structure of BaAlN2O.

Cell lengths 4.0282, 4.0282, 3.9364 Å; angles 90.00, 90.00, 90.00 degrees
With the nearest neighbours (Å) after each atom.
Space group P4/mmm (No. 123)
Asymmetric unit:
1 Ba 0.0000 0.0000 0.0000 x1  8 N 2.82, 4 O 2.85
2 Al 0.5000 0.5000 0.5000 x1  2 O 1.97, 4 N 2.01
3 N 0.0000 0.5000 0.5000 x2  2 Al 2.01
4 O 0.5000 0.5000 0.0000 x1  2 Al 1.97

Fermi-level density of states, states/eV per atom: 0.136
Electronic total energy, eV/atom: -15.388
Energy relative to the elements, uncorrected, eV per atom: -0.965


# 6
VASP calculation (SCAN) on a PBEsol-optimized structure of BaNaAl3.

Cell lengths 5.2376, 5.2376, 5.2376 Å; angles 90.00, 90.00, 90.00 degrees
With the nearest neighbours (Å) after each atom.
Space group Pm-3m (No. 221)
Asymmetric unit:
1 Ba 0.0000 0.0000 0.0000 x1  12 Al 3.70
2 Na 0.5000 0.5000 0.5000 x1  6 Al 2.62
3 Al 0.0000 0.5000 0.5000 x3  2 Na 2.62

Fermi-level density of states, states/eV per atom: 0.611
Electronic total energy, eV/atom: -12.841
Formation enthalpy at 0 K, eV/atom: 0.56


Which value of electronic total energy does entry 1 give? -29.649 eV/atom


Which of these has the lowest Fermi-level density of states? Ba3Al3N5


What did the third record say?
VASP calculation (SCAN) on a PBEsol-optimized structure of Ba2AlN.

Cell lengths 7.5597, 7.5597, 7.5597 Å; angles 90.00, 90.00, 90.00 degrees
With the nearest neighbours (Å) after each atom.
Space group Fm-3m (No. 225)
Asymmetric unit:
1 Ba 0.2500 0.2500 0.2500 x8  4 Al 3.27, 4 N 3.27
2 Al 0.0000 0.0000 0.0000 x4  8 Ba 3.27
3 N 0.0000 0.0000 0.5000 x4  8 Ba 3.27

Fermi-level density of states, states/eV per atom: 1.016
Electronic total energy, eV/atom: -23.477
Energy relative to the elements, uncorrected, eV per atom: 0.558